VASP calculation (PBE-GGA) on an optimized crystal structure of Ce4GaSe2S.

a = 7.217 Å, b = 4.176 Å, c = 7.275 Å
α = 90.00°, β = 109.45°, γ = 90.00°
Space group P2/m (No. 10)
Inequivalent atoms, fractional coordinates:
Ce (0.241, 0.000, 0.241) x2
Ce (0.245, 0.500, 0.753) x2
Ga (0.500, 0.000, 0.000) x1
Se (0.000, 0.000, 0.500) x1
Se (0.500, 0.500, 0.500) x1
S (0.000, 0.500, 0.000) x1

The value obtained for the magnetic moment is 0.395 μB/atom. As for the density of states at the Fermi level: 22.35 states/eV/f.u. The final energy comes out at -49.72 eV for the cell shown.



VASP calculation (PBE-GGA) on an optimized crystal structure of CeTl2GaS4.

a = 8.158 Å, b = 8.421 Å, c = 11.773 Å
α = 90.00°, β = 90.00°, γ = 90.00°
Space group Imma (No. 74)
Inequivalent atoms, fractional coordinates:
Ce (0.000, 0.000, 0.000) x4
Tl (0.000, 0.000, 0.500) x4
Tl (0.250, 0.250, 0.250) x4
Ga (0.250, 0.250, 0.750) x4
S (0.000, 0.045, 0.764) x8
S (0.221, 0.250, 0.978) x8

The value obtained for the magnetic moment is 0.057 μB/atom. As for the density of states at the Fermi level: 6.14 states/eV/f.u. The final energy comes out at -147.79 eV for the cell shown.



VASP calculation (PBE-GGA) on an optimized crystal structure of Ce4GaSb.

a = 5.071 Å, b = 6.276 Å, c = 9.006 Å
α = 90.00°, β = 90.00°, γ = 90.00°
Space group Immm (No. 71)
Inequivalent atoms, fractional coordinates:
Ce (0.000, 0.245, 0.170) x8
Ga (0.000, 0.500, 0.500) x2
Sb (0.000, 0.000, 0.500) x2

Its offset from the most stable computed form is 51 meV per atom. The value obtained for the magnetic moment is 0.291 μB/atom. As for the density of states at the Fermi level: 14.77 states/eV/f.u. The final energy comes out at -65.90 eV for the cell shown.



VASP calculation (PBE-GGA) on an optimized crystal structure of Ce5GaSb2.

a = 6.980 Å, b = 6.980 Å, c = 8.492 Å
α = 90.00°, β = 90.00°, γ = 90.00°
Space group I4mm (No. 107)
Inequivalent atoms, fractional coordinates:
Ce (0.000, 0.000, 0.000) x2
Ce (0.236, 0.236, 0.328) x8
Ga (0.000, 0.000, 0.605) x2
Sb (0.000, 0.500, 0.075) x4

The value obtained for the magnetic moment is 0.295 μB/atom. As for the density of states at the Fermi level: 19.21 states/eV/f.u. The final energy comes out at -91.36 eV for the cell shown.



no.,formation energy (no corrections) (eV per formula unit)
1,-11.859
2,-6.746
3,-2.064
4,-4.738